(1)
# TlGe2AuSe

A relaxed structure of TlGe2AuSe (PBE-GGA, Alexandria via LeMat-Bulk).

Properties
Symmetry: P4/mmm, No. 123
VASP energy in eV per atom: -3.29
Total moment in μB per formula unit: 0.000

a b c (Å): 5.006 5.006 5.559
angles (deg): 90.00 90.00 90.00
Fractional coordinates of all 5 atoms:
Tl 0.000 0.000 0.000
Ge 0.000 0.500 0.500
Ge 0.500 0.000 0.500
Au 0.000 0.000 0.500
Se 0.500 0.500 0.000

---

(2)
# CsNiI2Br

A relaxed structure of CsNiI2Br (PBE-GGA, Alexandria via LeMat-Bulk).

Properties
Symmetry: P4/mmm, No. 123
VASP energy in eV per atom: -2.93
Total moment in μB per formula unit: 0.000

a b c (Å): 5.524 5.524 5.281
angles (deg): 90.00 90.00 90.00
Fractional coordinates of all 5 atoms:
Cs 0.000 0.000 0.000
Ni 0.500 0.500 0.500
I 0.000 0.500 0.500
I 0.500 0.000 0.500
Br 0.500 0.500 0.000

---

(3)
# Tb4SmDy2

A relaxed structure of Tb4SmDy2 (PBE-GGA, Alexandria via LeMat-Bulk).

Properties
Symmetry: C2/m, No. 12
Total moment in μB per formula unit: 0.000
E above lowest polymorph in eV/atom: 0.0000
ΔH_f (0 K) in eV/atom: 0.036

a b c (Å): 8.553 8.553 8.761
angles (deg): 118.71 118.71 23.84
Fractional coordinates of all 7 atoms:
Tb 0.141 0.141 0.335
Tb 0.205 0.205 0.794
Tb 0.795 0.795 0.206
Tb 0.859 0.859 0.665
Sm 0.500 0.500 0.500
Dy 0.430 0.430 0.070
Dy 0.570 0.570 0.930

---

(4)
# Sc6AlTl3

A relaxed structure of Sc6AlTl3 (PBE-GGA, Alexandria via LeMat-Bulk).

Properties
Symmetry: P2_1/m, No. 11
Total moment in μB per formula unit: 1.597
ΔH_f (0 K) in eV/atom: -0.259

a b c (Å): 8.935 4.927 10.705
angles (deg): 90.00 104.52 90.00
Fractional coordinates of all 20 atoms:
Sc 0.049 0.250 0.411
Sc 0.158 0.750 0.183
Sc 0.273 0.250 0.002
Sc 0.354 0.750 0.817
Sc 0.363 0.250 0.304
Sc 0.411 0.250 0.612
Sc 0.589 0.750 0.388
Sc 0.637 0.750 0.696
Sc 0.646 0.250 0.183
Sc 0.727 0.750 0.998
Sc 0.842 0.250 0.817
Sc 0.951 0.750 0.589
Al 0.446 0.750 0.116
Al 0.554 0.250 0.884
Tl 0.031 0.750 0.889
Tl 0.132 0.250 0.710
Tl 0.281 0.750 0.476
Tl 0.719 0.250 0.524
Tl 0.868 0.750 0.290
Tl 0.969 0.250 0.111

---

(5)
# MgZr2InN

A relaxed structure of MgZr2InN (PBE-GGA, Alexandria via LeMat-Bulk).

Properties
Symmetry: P4/mmm, No. 123
VASP energy in eV per atom: -6.65
Total moment in μB per formula unit: 0.000

a b c (Å): 4.532 4.532 4.373
angles (deg): 90.00 90.00 90.00
Fractional coordinates of all 5 atoms:
Mg 0.000 0.000 0.000
Zr 0.000 0.500 0.500
Zr 0.500 0.000 0.500
In 0.500 0.500 0.000
N 0.000 0.000 0.500

---

(6)
# KBaSe2O6

A relaxed structure of KBaSe2O6 (PBE-GGA, Alexandria via LeMat-Bulk).

Properties
Symmetry: C2/c, No. 15
VASP energy in eV per atom: -5.43
Total moment in μB per formula unit: 0.000

a b c (Å): 7.457 7.457 7.600
angles (deg): 100.78 100.78 100.47
Fractional coordinates of all 20 atoms:
K 0.198 0.802 0.750
K 0.802 0.198 0.250
Ba 0.395 0.605 0.250
Ba 0.605 0.395 0.750
Se 0.117 0.287 0.783
Se 0.287 0.117 0.283
Se 0.713 0.883 0.717
Se 0.883 0.713 0.217
O 0.062 0.650 0.347
O 0.154 0.220 0.141
O 0.220 0.154 0.641
O 0.286 0.491 0.875
O 0.350 0.938 0.153
O 0.491 0.286 0.375
O 0.509 0.714 0.625
O 0.650 0.062 0.847
O 0.714 0.509 0.125
O 0.780 0.846 0.359
O 0.846 0.780 0.859
O 0.938 0.350 0.653

---

(7)
# FePb5

A relaxed structure of FePb5 (PBE-GGA, Alexandria via LeMat-Bulk).

Properties
Symmetry: P6/mmm, No. 191
Total moment in μB per formula unit: 3.717
ΔH_f (0 K) in eV/atom: 0.688

a b c (Å): 6.221 6.221 6.015
angles (deg): 90.00 90.00 120.00
Fractional coordinates of all 6 atoms:
Fe 0.000 0.000 0.000
Pb 0.000 0.500 0.500
Pb 0.333 0.667 0.000
Pb 0.500 0.000 0.500
Pb 0.500 0.500 0.500
Pb 0.667 0.333 0.000

---

(8)
# Pm2PrDy3Se6

A relaxed structure of Pm2PrDy3Se6 (PBE-GGA, Alexandria via LeMat-Bulk).

Properties
Symmetry: C2/m, No. 12
VASP energy in eV per atom: -5.88
Total moment in μB per formula unit: 0.000

a b c (Å): 7.142 7.142 7.274
angles (deg): 99.40 99.40 120.30
Fractional coordinates of all 12 atoms:
Pm 0.166 0.834 0.000
Pm 0.834 0.166 0.000
Pr 0.500 0.500 0.000
Dy 0.000 0.000 0.500
Dy 0.336 0.664 0.500
Dy 0.664 0.336 0.500
Se 0.075 0.412 0.736
Se 0.251 0.251 0.262
Se 0.412 0.075 0.736
Se 0.588 0.925 0.264
Se 0.749 0.749 0.738
Se 0.925 0.588 0.264

---

(9)
# Mg3PdRh

A relaxed structure of Mg3PdRh (PBE-GGA, Alexandria via LeMat-Bulk).

Properties
Symmetry: P2_1/m, No. 11
Total moment in μB per formula unit: 0.000
E above lowest polymorph in eV/atom: 0.0000
ΔH_f (0 K) in eV/atom: -0.546

a b c (Å): 4.481 4.475 8.671
angles (deg): 90.00 104.89 90.00
Fractional coordinates of all 10 atoms:
Mg 0.065 0.250 0.130
Mg 0.250 0.250 0.499
Mg 0.432 0.250 0.866
Mg 0.568 0.750 0.134
Mg 0.750 0.750 0.501
Mg 0.935 0.750 0.870
Pd 0.344 0.750 0.689
Pd 0.656 0.250 0.311
Rh 0.153 0.750 0.306
Rh 0.847 0.250 0.694